No. 1
! BeHg2Ru SCAN single point on PBEsol structure; values from VASP
&SYSTEM
  ibrav = 0, nat = 4, ntyp = 3
/
ATOMIC_SPECIES
Ru 101.07 Ru.upf
Hg 200.59 Hg.upf
Be 9.01 Be.upf
ATOMIC_POSITIONS angstrom
Ru 0.000 0.000 3.927
Hg 0.000 0.000 6.688
Hg 1.510 1.510 2.011
Be 1.510 1.510 4.762
CELL_PARAMETERS angstrom
3.021 0.000 0.000
0.000 3.021 0.000
0.000 0.000 6.955
! Total energy in eV/atom: -43.6902
! Energy relative to the elements in meV/atom: 188
! Crystal system: tetragonal

---

No. 2
! Be4HgRu SCAN single point on PBEsol structure; values from VASP
&SYSTEM
  ibrav = 0, nat = 6, ntyp = 3
/
ATOMIC_SPECIES
Ru 101.07 Ru.upf
Hg 200.59 Hg.upf
Be 9.01 Be.upf
ATOMIC_POSITIONS angstrom
Ru 0.000 0.000 0.000
Hg 0.142 -2.102 1.748
Be 1.072 -4.473 2.381
Be 0.745 -3.048 4.121
Be -1.037 -4.020 3.097
Be 0.356 -5.272 4.385
CELL_PARAMETERS angstrom
-0.764 -4.373 0.519
2.740 -2.462 2.532
-1.407 -1.570 3.941
! Total energy in eV/atom: -20.0827
! Energy relative to the elements in meV/atom: -15
! Crystal system: cubic

---

No. 3
! Be2HgSb SCAN single point on PBEsol structure; values from VASP
&SYSTEM
  ibrav = 0, nat = 4, ntyp = 3
/
ATOMIC_SPECIES
Sb 121.76 Sb.upf
Hg 200.59 Hg.upf
Be 9.01 Be.upf
ATOMIC_POSITIONS angstrom
Sb 1.547 0.000 0.000
Hg 1.547 2.340 2.340
Be 0.000 0.000 2.340
Be 0.000 2.340 0.000
CELL_PARAMETERS angstrom
3.093 0.000 0.000
0.000 4.680 0.000
0.000 0.000 4.680
! Total energy in eV/atom: -27.8588
! Raw formation energy in eV per formula unit: 2.699
! Crystal system: tetragonal

---

No. 4
! Be2HgSb SCAN single point on PBEsol structure; values from VASP
&SYSTEM
  ibrav = 0, nat = 4, ntyp = 3
/
ATOMIC_SPECIES
Sb 121.76 Sb.upf
Hg 200.59 Hg.upf
Be 9.01 Be.upf
ATOMIC_POSITIONS angstrom
Sb 1.451 1.809 3.195
Hg 1.451 1.809 0.000
Be 0.000 0.000 5.126
Be 0.000 0.000 1.264
CELL_PARAMETERS angstrom
2.902 0.000 0.000
0.000 3.619 0.000
0.000 0.000 6.390
! Total energy in eV/atom: -27.9527
! Raw formation energy in eV per formula unit: 2.323
! Crystal system: orthorhombic

---

No. 5
! BeHg4Sb SCAN single point on PBEsol structure; values from VASP
&SYSTEM
  ibrav = 0, nat = 6, ntyp = 3
/
ATOMIC_SPECIES
Be 9.01 Be.upf
Hg 200.59 Hg.upf
Sb 121.76 Sb.upf
ATOMIC_POSITIONS angstrom
Be 0.000 0.000 0.000
Hg -2.926 -4.130 1.682
Hg -5.387 -4.907 3.031
Hg -4.345 -6.534 0.852
Hg -2.961 -6.471 3.413
Sb -5.857 -8.266 3.366
CELL_PARAMETERS angstrom
-2.830 -4.797 -1.657
-0.069 -4.672 3.454
-4.911 -1.552 2.691
! Total energy in eV/atom: -51.7048
! Raw formation energy in eV per formula unit: 4.049
! Crystal system: cubic

---

No. 6
! TaBeHgSb2 SCAN single point on PBEsol structure; values from VASP
&SYSTEM
  ibrav = 0, nat = 5, ntyp = 4
/
ATOMIC_SPECIES
Sb 121.76 Sb.upf
Be 9.01 Be.upf
Hg 200.59 Hg.upf
Ta 180.95 Ta.upf
ATOMIC_POSITIONS angstrom
Sb -0.711 0.456 -2.489
Sb -0.179 2.570 0.522
Be -3.467 2.709 -1.288
Hg -2.577 -0.317 0.679
Ta 0.000 0.000 0.000
CELL_PARAMETERS angstrom
-0.357 5.139 1.044
-1.423 0.912 -4.977
-5.154 -0.634 1.357
! Total energy in eV/atom: -41.7587
! Raw formation energy in eV per formula unit: 4.830
! Crystal system: tetragonal

---

No. 7
! ScBe2Hg SCAN single point on PBEsol structure; values from VASP
&SYSTEM
  ibrav = 0, nat = 4, ntyp = 3
/
ATOMIC_SPECIES
Sc 44.96 Sc.upf
Be 9.01 Be.upf
Hg 200.59 Hg.upf
ATOMIC_POSITIONS angstrom
Sc 1.471 1.471 5.305
Be 0.000 0.000 0.370
Be 1.471 1.471 1.344
Hg 0.000 0.000 3.075
CELL_PARAMETERS angstrom
2.943 0.000 0.000
0.000 2.943 0.000
0.000 0.000 6.729
! Total energy in eV/atom: -22.7658
! Energy relative to the elements in meV/atom: 12
! Crystal system: tetragonal

---

No. 8
! BeHg2Se SCAN single point on PBEsol structure; values from VASP
&SYSTEM
  ibrav = 0, nat = 4, ntyp = 3
/
ATOMIC_SPECIES
Be 9.01 Be.upf
Hg 200.59 Hg.upf
Se 78.96 Se.upf
ATOMIC_POSITIONS angstrom
Be 0.000 0.000 0.000
Hg -1.474 -2.246 -1.247
Hg -4.422 -6.738 -3.740
Se -2.948 -4.492 -2.494
CELL_PARAMETERS angstrom
-4.170 -2.450 -0.037
-1.732 -1.763 -4.157
0.006 -4.771 -0.792
! Total energy in eV/atom: -39.5086
! Raw formation energy in eV per formula unit: 2.729
! Crystal system: cubic

---

No. 9
! BeHg2Se SCAN single point on PBEsol structure; values from VASP
&SYSTEM
  ibrav = 0, nat = 4, ntyp = 3
/
ATOMIC_SPECIES
Be 9.01 Be.upf
Hg 200.59 Hg.upf
Se 78.96 Se.upf
ATOMIC_POSITIONS angstrom
Be 1.352 -2.559 0.924
Hg -1.657 -0.915 -0.110
Hg -0.371 0.455 1.803
Se -0.676 -3.019 2.617
CELL_PARAMETERS angstrom
-0.742 0.910 3.605
-3.314 -1.830 -0.220
2.704 -5.118 1.849
! Total energy in eV/atom: -39.8559
! Raw formation energy in eV per formula unit: 1.340
! Crystal system: tetragonal

---

No. 10
! BeHgSe2 SCAN single point on PBEsol structure; values from VASP
&SYSTEM
  ibrav = 0, nat = 8, ntyp = 3
/
ATOMIC_SPECIES
Be 9.01 Be.upf
Hg 200.59 Hg.upf
Se 78.96 Se.upf
ATOMIC_POSITIONS angstrom
Be 2.848 0.000 2.704
Be 2.848 2.848 0.000
Hg 0.000 2.848 2.704
Hg 0.000 0.000 0.000
Se 1.781 4.271 1.352
Se 3.914 1.424 1.352
Se -1.424 -1.067 4.055
Se 1.424 1.067 4.055
CELL_PARAMETERS angstrom
5.695 0.000 0.000
0.000 5.695 0.000
-2.848 -2.848 5.407
! Total energy in eV/atom: -28.7093
! Raw formation energy in eV per formula unit: -2.161
! Crystal system: tetragonal